Entry 1:
Compound: AlAg2
Source: the Alexandria database
Functional: PBE-GGA
Structure: relaxed

## Properties
- E (eV for the cell shown) = -38.29
- E_form (eV per atom) = -0.0424

Cell and atoms, written as CIF:
```
data_AlAg2
_chemical_formula_sum 'Al4 Ag8'
_cell_length_a 5.8897
_cell_length_b 5.9480
_cell_length_c 6.2051
_cell_angle_alpha 76.21
_cell_angle_beta 76.47
_cell_angle_gamma 89.90
_symmetry_space_group_name_H-M 'P 1'
_symmetry_Int_Tables_number 1
loop_
_symmetry_equiv_pos_as_xyz
'x,y,z'
loop_
_atom_site_label
_atom_site_fract_x
_atom_site_fract_y
_atom_site_fract_z
Al1 0.0000 0.0000 0.0000
Al2 0.0007 0.5006 0.9966
Al3 0.1658 0.1639 0.3399
Al4 0.6578 0.6644 0.3419
Ag1 0.1380 0.6683 0.3234
Ag2 0.3303 0.8327 0.6642
Ag3 0.3320 0.3349 0.6592
Ag4 0.4881 0.4932 0.0223
Ag5 0.4892 0.9952 0.0188
Ag6 0.6932 0.1675 0.3268
Ag7 0.8321 0.3288 0.6832
Ag8 0.8319 0.8297 0.6799
```


Entry 2:
Compound: AlAg
Source: the Alexandria database
Functional: PBE-GGA
Structure: relaxed

## Properties
- E (eV for the cell shown) = -26.65
- E_form (eV per atom) = -0.0341

Cell and atoms, written as CIF:
```
data_AlAg
_chemical_formula_sum 'Al4 Ag4'
_cell_length_a 4.9264
_cell_length_b 4.9180
_cell_length_c 5.5879
_cell_angle_alpha 90.00
_cell_angle_beta 90.00
_cell_angle_gamma 90.00
_symmetry_space_group_name_H-M 'P 1'
_symmetry_Int_Tables_number 1
loop_
_symmetry_equiv_pos_as_xyz
'x,y,z'
loop_
_atom_site_label
_atom_site_fract_x
_atom_site_fract_y
_atom_site_fract_z
Al1 0.0946 0.2500 0.1213
Al2 0.4054 0.7500 0.6213
Al3 0.5946 0.2500 0.3787
Al4 0.9054 0.7500 0.8787
Ag1 0.0976 0.2500 0.6163
Ag2 0.4024 0.7500 0.1163
Ag3 0.5976 0.2500 0.8837
Ag4 0.9024 0.7500 0.3837
```


Entry 3:
Compound: Al2Ag3
Source: the Alexandria database
Functional: PBE-GGA
Structure: relaxed

## Properties
- energy above the lowest structure with this stoichiometry (eV/atom) = 0.0766
- E (eV for the cell shown) = -31.76
- E_form (eV per atom) = 0.0321

Cell and atoms, written as CIF:
```
data_Al2Ag3
_chemical_formula_sum 'Al4 Ag6'
_cell_length_a 6.6695
_cell_length_b 6.6695
_cell_length_c 4.7772
_cell_angle_alpha 104.97
_cell_angle_beta 104.97
_cell_angle_gamma 109.90
_symmetry_space_group_name_H-M 'P 1'
_symmetry_Int_Tables_number 1
loop_
_symmetry_equiv_pos_as_xyz
'x,y,z'
loop_
_atom_site_label
_atom_site_fract_x
_atom_site_fract_y
_atom_site_fract_z
Al1 0.0000 0.5000 0.5000
Al2 0.1216 0.8784 0.0000
Al3 0.5000 0.0000 0.5000
Al4 0.8784 0.1216 0.0000
Ag1 0.2111 0.2111 0.5598
Ag2 0.2481 0.5240 0.1549
Ag3 0.4760 0.7519 0.8451
Ag4 0.5240 0.2481 0.1549
Ag5 0.7519 0.4760 0.8451
Ag6 0.7889 0.7889 0.4402
```


Entry 4:
Compound: Al8Ag
Source: the Alexandria database
Functional: PBE-GGA
Structure: relaxed

## Properties
- energy above the lowest structure with this stoichiometry (eV/atom) = 0.0000
- E (eV for the cell shown) = -32.61
- E_form (eV per atom) = 0.0205

Cell and atoms, written as CIF:
```
data_Al8Ag
_chemical_formula_sum 'Al8 Ag1'
_cell_length_a 6.4338
_cell_length_b 6.4338
_cell_length_c 6.4338
_cell_angle_alpha 95.56
_cell_angle_beta 95.56
_cell_angle_gamma 143.74
_symmetry_space_group_name_H-M 'P 1'
_symmetry_Int_Tables_number 1
loop_
_symmetry_equiv_pos_as_xyz
'x,y,z'
loop_
_atom_site_label
_atom_site_fract_x
_atom_site_fract_y
_atom_site_fract_z
Al1 0.0000 0.3341 0.3341
Al2 0.0000 0.6659 0.6659
Al3 0.3331 0.3331 0.6663
Al4 0.3331 0.6669 0.0000
Al5 0.3341 0.0000 0.3341
Al6 0.6659 0.0000 0.6659
Al7 0.6669 0.3331 0.0000
Al8 0.6669 0.6669 0.3337
Ag1 0.0000 0.0000 0.0000
```


Entry 5:
Compound: Al5Ag3
Source: the Alexandria database
Functional: PBE-GGA
Structure: relaxed

## Properties
- energy above the lowest structure with this stoichiometry (eV/atom) = 0.0238
- E (eV for the cell shown) = -27.39
- E_form (eV per atom) = -0.0157

Cell and atoms, written as CIF:
```
data_Al5Ag3
_chemical_formula_sum 'Al5 Ag3'
_cell_length_a 3.0642
_cell_length_b 3.9362
_cell_length_c 11.2200
_cell_angle_alpha 90.00
_cell_angle_beta 90.00
_cell_angle_gamma 90.00
_symmetry_space_group_name_H-M 'P 1'
_symmetry_Int_Tables_number 1
loop_
_symmetry_equiv_pos_as_xyz
'x,y,z'
loop_
_atom_site_label
_atom_site_fract_x
_atom_site_fract_y
_atom_site_fract_z
Al1 0.0000 0.0000 0.0000
Al2 0.0000 0.0000 0.2466
Al3 0.0000 0.0000 0.4976
Al4 0.5000 0.5000 0.1288
Al5 0.5000 0.5000 0.6319
Ag1 0.0000 0.0000 0.7429
Ag2 0.5000 0.5000 0.3809
Ag3 0.5000 0.5000 0.8846
```


Entry 6:
Compound: Al5Ag3
Source: the Alexandria database
Functional: PBE-GGA
Structure: relaxed

## Properties
- energy above the lowest structure with this stoichiometry (eV/atom) = 0.0000
- E (eV for the cell shown) = -27.58
- E_form (eV per atom) = -0.0395

Cell and atoms, written as CIF:
```
data_Al5Ag3
_chemical_formula_sum 'Al5 Ag3'
_cell_length_a 9.1480
_cell_length_b 9.1480
_cell_length_c 4.9851
_cell_angle_alpha 95.12
_cell_angle_beta 95.12
_cell_angle_gamma 18.98
_symmetry_space_group_name_H-M 'P 1'
_symmetry_Int_Tables_number 1
loop_
_symmetry_equiv_pos_as_xyz
'x,y,z'
loop_
_atom_site_label
_atom_site_fract_x
_atom_site_fract_y
_atom_site_fract_z
Al1 0.0000 0.0000 0.0000
Al2 0.1280 0.1280 0.3697
Al3 0.3757 0.3757 0.1235
Al4 0.5000 0.5000 0.4897
Al5 0.8768 0.8768 0.6234
Ag1 0.2549 0.2549 0.7486
Ag2 0.6195 0.6195 0.8642
Ag3 0.7526 0.7526 0.2509
```


Entry 7:
Compound: Al3Ag5
Source: the Alexandria database
Functional: PBE-GGA
Structure: relaxed

## Properties
- energy above the lowest structure with this stoichiometry (eV/atom) = 0.0120
- E (eV for the cell shown) = -25.79
- E_form (eV per atom) = -0.0378

Cell and atoms, written as CIF:
```
data_Al3Ag5
_chemical_formula_sum 'Al3 Ag5'
_cell_length_a 4.9919
_cell_length_b 4.9919
_cell_length_c 5.7887
_cell_angle_alpha 90.00
_cell_angle_beta 90.00
_cell_angle_gamma 109.79
_symmetry_space_group_name_H-M 'P 1'
_symmetry_Int_Tables_number 1
loop_
_symmetry_equiv_pos_as_xyz
'x,y,z'
loop_
_atom_site_label
_atom_site_fract_x
_atom_site_fract_y
_atom_site_fract_z
Al1 0.0000 0.0000 0.0000
Al2 0.0000 0.5000 0.7392
Al3 0.5000 0.0000 0.2608
Ag1 0.0000 0.0000 0.5000
Ag2 0.0000 0.5000 0.2357
Ag3 0.5000 0.0000 0.7643
Ag4 0.5000 0.5000 0.0000
Ag5 0.5000 0.5000 0.5000
```


Entry 8:
Compound: AlAg
Source: the Alexandria database
Functional: PBE-GGA
Structure: relaxed

## Properties
- E (eV for the cell shown) = -12.92
- E_form (eV per atom) = 0.0669

Cell and atoms, written as CIF:
```
data_AlAg
_chemical_formula_sum 'Al2 Ag2'
_cell_length_a 5.1730
_cell_length_b 5.1730
_cell_length_c 5.1730
_cell_angle_alpha 50.61
_cell_angle_beta 50.61
_cell_angle_gamma 50.61
_symmetry_space_group_name_H-M 'P 1'
_symmetry_Int_Tables_number 1
loop_
_symmetry_equiv_pos_as_xyz
'x,y,z'
loop_
_atom_site_label
_atom_site_fract_x
_atom_site_fract_y
_atom_site_fract_z
Al1 0.1025 0.1025 0.1025
Al2 0.8975 0.8975 0.8975
Ag1 0.2938 0.2938 0.2938
Ag2 0.7062 0.7062 0.7062
```


Entry 9:
Compound: AlAg
Source: the Alexandria database
Functional: PBE-GGA
Structure: relaxed

## Properties
- E (eV for the cell shown) = -19.86
- E_form (eV per atom) = -0.0134

Cell and atoms, written as CIF:
```
data_AlAg
_chemical_formula_sum 'Al3 Ag3'
_cell_length_a 2.9480
_cell_length_b 6.4824
_cell_length_c 6.4824
_cell_angle_alpha 117.59
_cell_angle_beta 90.00
_cell_angle_gamma 90.00
_symmetry_space_group_name_H-M 'P 1'
_symmetry_Int_Tables_number 1
loop_
_symmetry_equiv_pos_as_xyz
'x,y,z'
loop_
_atom_site_label
_atom_site_fract_x
_atom_site_fract_y
_atom_site_fract_z
Al1 0.0000 0.0000 0.0000
Al2 0.5000 0.1820 0.4206
Al3 0.5000 0.4206 0.1820
Ag1 0.0000 0.3426 0.8117
Ag2 0.0000 0.8117 0.3426
Ag3 0.5000 0.6639 0.6639
```


Entry 10:
Compound: AlAg
Source: the Alexandria database
Functional: PBE-GGA
Structure: relaxed

## Properties
- E (eV for the cell shown) = -26.52
- E_form (eV per atom) = -0.0185

Cell and atoms, written as CIF:
```
data_AlAg
_chemical_formula_sum 'Al4 Ag4'
_cell_length_a 4.9074
_cell_length_b 5.0497
_cell_length_c 6.5532
_cell_angle_alpha 103.48
_cell_angle_beta 102.59
_cell_angle_gamma 113.31
_symmetry_space_group_name_H-M 'P 1'
_symmetry_Int_Tables_number 1
loop_
_symmetry_equiv_pos_as_xyz
'x,y,z'
loop_
_atom_site_label
_atom_site_fract_x
_atom_site_fract_y
_atom_site_fract_z
Al1 0.0615 0.3106 0.1244
Al2 0.1853 0.9366 0.3731
Al3 0.8147 0.0634 0.6269
Al4 0.9385 0.6894 0.8756
Ag1 0.3117 0.5634 0.6235
Ag2 0.4356 0.1852 0.8680
Ag3 0.5644 0.8148 0.1320
Ag4 0.6883 0.4366 0.3765
```